1.
A plane-wave DFT calculation with PBE was carried out for a relaxed structure of LiCrS2.

Results
DFT total energy ... -23.78 eV for the cell shown
Formation energy (no corrections) ... -0.997 eV per atom

Cell lengths 3.5056, 3.5056, 5.9699 Å; angles 90.00, 90.00, 120.00 degrees
Last column: nearest neighbours and their distance in Å.
Space group P-3m1 (No. 164)
Asymmetric unit:
Li1 0.0000 0.0000 0.0000 x1  6 S 2.62
Cr1 0.0000 0.0000 0.5000 x1  6 S 2.42
S1 0.3333 0.6667 0.7221 x2  3 Cr 2.42, 3 Li 2.62


2.
A plane-wave DFT calculation with PBE was carried out for a relaxed structure of Li3CrS.

Results
ΔE to the lowest computed polymorph ... 0 meV per atom
DFT total energy ... -20.36 eV for the cell shown
Formation energy (no corrections) ... -0.173 eV per atom

Cell lengths 4.6533, 4.6533, 4.6533 Å; angles 90.00, 90.00, 90.00 degrees
Last column: nearest neighbours and their distance in Å.
Space group Pm-3m (No. 221)
Asymmetric unit:
Li1 0.0000 0.0000 0.5000 x3  2 S 2.33
Cr1 0.5000 0.5000 0.5000 x1  12 Li 3.29
S1 0.0000 0.0000 0.0000 x1  6 Li 2.33


3.
A plane-wave DFT calculation with PBE was carried out for a relaxed structure of Li2CrS3.

Results
DFT total energy ... -125.60 eV for the cell shown
Formation energy (no corrections) ... -0.928 eV per atom

Cell lengths 6.0919, 10.5865, 6.2662 Å; angles 90.00, 109.38, 90.00 degrees
Last column: nearest neighbours and their distance in Å.
Space group C2/m (No. 12)
Asymmetric unit:
Li1 0.0000 0.0000 0.0000 x2  6 S 2.58-2.59
Li2 0.0000 0.1568 0.5000 x4  6 S 2.52-2.69
Li3 0.0000 0.5000 0.5000 x2  6 S 2.47-2.66
Cr1 0.0000 0.3323 0.0000 x4  6 S 2.36-2.39
S1 0.2165 0.5000 0.2285 x4  2 Cr 2.39, 4 Li 2.47-2.58
S2 0.2418 0.3188 0.7725 x8  2 Cr 2.36-2.37, 2 Li 2.52-2.59


4.
A plane-wave DFT calculation with PBE was carried out for a relaxed structure of Li5CrS4.

Results
DFT total energy ... -93.44 eV for the cell shown
Formation energy (no corrections) ... -1.102 eV per atom

Cell lengths 3.7252, 6.7399, 13.1073 Å; angles 90.00, 90.00, 90.00 degrees
Last column: nearest neighbours and their distance in Å.
Space group Immm (No. 71)
Asymmetric unit:
Li1 0.0000 0.0000 0.0000 x2  4 S 2.54
Li2 0.0000 0.2171 0.3223 x8  4 S 2.34-2.52
Cr1 0.0000 0.5000 0.0000 x2  6 S 2.48-2.58
S1 0.0000 0.2430 0.5000 x4  4 Li 2.34-2.54, 2 Cr 2.48
S2 0.0000 0.5000 0.1971 x4  6 Li 2.38-2.52, 1 Cr 2.58


5.
A plane-wave DFT calculation with PBE was carried out for a relaxed structure of LiCr2S4.

Results
ΔE to the lowest computed polymorph ... 0 meV per atom
DFT total energy ... -43.31 eV for the cell shown
Formation energy (no corrections) ... -0.806 eV per atom

Cell lengths 5.9087, 3.4296, 6.0443 Å; angles 90.00, 90.26, 90.00 degrees
Last column: nearest neighbours and their distance in Å.
Space group P2/m (No. 10)
Asymmetric unit:
Li1 0.0000 0.0000 0.0000 x1  6 S 2.59-2.60
Cr1 0.0000 0.0000 0.5000 x1  6 S 2.38-2.39
Cr2 0.5000 0.5000 0.5000 x1  6 S 2.38-2.39
S1 0.1670 0.5000 0.7227 x2  3 Cr 2.39, 2 Li 2.60
S2 0.3330 0.0000 0.2813 x2  3 Cr 2.38, 1 Li 2.59


6.
A plane-wave DFT calculation with PBE was carried out for a relaxed structure of LiCr2S4.

Results
ΔE to the lowest computed polymorph ... 167 meV per atom
DFT total energy ... -168.59 eV for the cell shown
Formation energy (no corrections) ... -0.639 eV per atom

Cell lengths 5.4137, 8.8003, 11.4353 Å; angles 90.00, 90.00, 90.00 degrees
Last column: nearest neighbours and their distance in Å.
Space group Pnma (No. 62)
Asymmetric unit:
Li1 0.2334 0.2500 0.1510 x4  6 S 2.51-2.77
Cr1 0.0142 0.7500 0.2679 x4  6 S 2.29-2.54
Cr2 0.1742 0.7500 0.0517 x4  4 S 2.12-2.18
S1 0.2211 0.2500 0.9247 x4  2 Cr 2.16-2.30
S2 0.2435 0.0609 0.6678 x8  3 Cr 2.18-2.41
S3 0.2439 0.2500 0.3706 x4  1 Cr 2.12


7.
A plane-wave DFT calculation with PBE was carried out for a relaxed structure of LiCr4S8.

Results
DFT total energy ... -329.14 eV for the cell shown
Formation energy (no corrections) ... -0.681 eV per atom

Cell lengths 9.7250, 9.7250, 9.7250 Å; angles 90.00, 90.00, 90.00 degrees
Last column: nearest neighbours and their distance in Å.
Space group F-43m (No. 216)
Asymmetric unit:
Li1 0.0000 0.0000 0.0000 x4  4 S 2.31
Cr1 0.1172 0.1172 0.6172 x16  6 S 2.34-2.41
S1 0.1233 0.1233 0.3767 x16  3 Cr 2.34
S2 0.1370 0.1370 0.8630 x16  1 Li 2.31, 3 Cr 2.41


8.
A plane-wave DFT calculation with PBE was carried out for a relaxed structure of Li3CrS.

Results
ΔE to the lowest computed polymorph ... 770 meV per atom
DFT total energy ... -16.51 eV for the cell shown
Formation energy (no corrections) ... 0.597 eV per atom

Cell lengths 4.8471, 4.8471, 4.8471 Å; angles 90.00, 90.00, 90.00 degrees
Last column: nearest neighbours and their distance in Å.
Space group Pm-3m (No. 221)
Asymmetric unit:
Li1 0.0000 0.0000 0.5000 x3  2 Cr 2.42
Cr1 0.0000 0.0000 0.0000 x1  6 Li 2.42
S1 0.5000 0.5000 0.5000 x1  12 Li 3.43


9.
A plane-wave DFT calculation with PBE was carried out for a relaxed structure of LiCr3S.

Results
ΔE to the lowest computed polymorph ... 0 meV per atom
DFT total energy ... -32.13 eV for the cell shown
Formation energy (no corrections) ... 0.556 eV per atom

Cell lengths 4.1828, 4.1828, 4.1828 Å; angles 90.00, 90.00, 90.00 degrees
Last column: nearest neighbours and their distance in Å.
Space group Pm-3m (No. 221)
Asymmetric unit:
Li1 0.0000 0.0000 0.0000 x1  12 Cr 2.96
Cr1 0.0000 0.5000 0.5000 x3  2 S 2.09
S1 0.5000 0.5000 0.5000 x1  6 Cr 2.09


10.
A plane-wave DFT calculation with PBE was carried out for a relaxed structure of LiCr2S4.

Results
ΔE to the lowest computed polymorph ... 177 meV per atom
DFT total energy ... -168.30 eV for the cell shown
Formation energy (no corrections) ... -0.629 eV per atom

Cell lengths 6.3261, 7.4620, 12.5720 Å; angles 98.42, 94.75, 90.22 degrees
Last column: nearest neighbours and their distance in Å.
Space group P-1 (No. 2)
Asymmetric unit:
Li1 0.1203 0.1972 0.2879 x2  4 S 2.35-2.45
Li2 0.2500 0.3667 0.0002 x2  6 S 2.51-2.63
Cr1 0.1534 0.6998 0.2808 x2  4 S 2.16-2.29
Cr2 0.2357 0.8874 0.0006 x2  6 S 2.31-2.47
Cr3 0.3658 0.5512 0.7198 x2  4 S 2.15-2.30
Cr4 0.3695 0.0564 0.7163 x2  4 S 2.22-2.31
S1 0.0914 0.1363 0.0984 x2  2 Cr 2.31-2.32, 2 Li 2.35-2.51
S2 0.1222 0.6690 0.1070 x2  2 Cr 2.16-2.40
S3 0.1762 0.2890 0.6554 x2  3 Cr 2.29-2.31
S4 0.2309 0.7847 0.6472 x2  2 Cr 2.22-2.23, 1 Li 2.43
S5 0.3207 0.4784 0.3484 x2  2 Cr 2.20-2.22, 1 Li 2.44
S6 0.3207 0.9506 0.3547 x2  2 Cr 2.19-2.22, 1 Li 2.45
S7 0.3769 0.6188 0.8927 x2  1 Cr 2.15
S8 0.4131 0.0808 0.8957 x2  3 Cr 2.23-2.47


11.
A plane-wave DFT calculation with PBE was carried out for a relaxed structure of Li3ScCr2S6.

Results
DFT total energy ... -141.88 eV for the cell shown
Formation energy (no corrections) ... -1.238 eV per atom

Cell lengths 6.1594, 10.6626, 6.3784 Å; angles 90.00, 108.74, 90.00 degrees
Last column: nearest neighbours and their distance in Å.
Space group C2/m (No. 12)
Asymmetric unit:
Li1 0.0000 0.0000 0.0000 x2  6 S 2.53-2.67
Li2 0.0000 0.3336 0.0000 x4  6 S 2.54-2.67
Sc1 0.0000 0.5000 0.5000 x2  6 S 2.57
Cr1 0.0000 0.1668 0.5000 x4  6 S 2.43-2.44
S1 0.2263 0.0000 0.7311 x4  2 Cr 2.44, 3 Li 2.53-2.66, 1 Sc 2.57
S2 0.2484 0.1754 0.2709 x8  2 Cr 2.43, 3 Li 2.54-2.67, 1 Sc 2.57


12.
A plane-wave DFT calculation with PBE was carried out for a relaxed structure of Li3SmCr2S6.

Results
DFT total energy ... -138.30 eV for the cell shown
Formation energy (no corrections) ... -1.223 eV per atom

Cell lengths 6.3228, 10.9485, 6.4790 Å; angles 90.00, 109.16, 90.00 degrees
Last column: nearest neighbours and their distance in Å.
Space group C2/m (No. 12)
Asymmetric unit:
Li1 0.0000 0.0000 0.0000 x2  6 S 2.48-2.77
Li2 0.0000 0.3354 0.0000 x4  6 S 2.49-2.78
Sm1 0.0000 0.5000 0.5000 x2  6 S 2.75
Cr1 0.0000 0.1672 0.5000 x4  6 S 2.45-2.47
S1 0.2091 0.0000 0.7367 x4  2 Cr 2.47, 3 Li 2.48-2.74, 1 Sm 2.75
S2 0.2364 0.1857 0.2672 x8  2 Cr 2.45-2.46, 1 Li 2.49


13.
A plane-wave DFT calculation with PBE was carried out for a relaxed structure of LiCrSnS4.

Results
DFT total energy ... -149.40 eV for the cell shown
Formation energy (no corrections) ... -0.757 eV per atom

Cell lengths 7.2237, 7.4988, 10.3921 Å; angles 90.00, 90.00, 90.00 degrees
Last column: nearest neighbours and their distance in Å.
Space group Imma (No. 74)
Asymmetric unit:
Li1 0.0000 0.2500 0.1361 x4  4 S 2.42-2.44
Cr1 0.2500 0.2500 0.7500 x4  6 S 2.43-2.44
Sn1 0.0000 0.0000 0.5000 x4  6 S 2.57-2.59
S1 0.0000 0.0320 0.7463 x8  2 Cr 2.44, 1 Li 2.44, 1 Sn 2.57
S2 0.2470 0.2500 0.5164 x8  1 Li 2.42, 1 Cr 2.43, 2 Sn 2.59


14.
A plane-wave DFT calculation with PBE was carried out for a relaxed structure of Li2Ta2CrS6.

Results
DFT total energy ... -146.74 eV for the cell shown
Formation energy (no corrections) ... -1.041 eV per atom

Cell lengths 5.8881, 10.3508, 6.5865 Å; angles 90.00, 105.15, 90.00 degrees
Last column: nearest neighbours and their distance in Å.
Space group C2/m (No. 12)
Asymmetric unit:
Li1 0.0000 0.1774 0.0000 x4  6 S 2.54-2.66
Ta1 0.0000 0.3607 0.5000 x4  6 S 2.44-2.61
Cr1 0.0000 0.0000 0.5000 x2  6 S 2.42-2.43
S1 0.2243 0.1676 0.7197 x8  1 Cr 2.42, 2 Ta 2.46-2.61, 2 Li 2.54-2.66
S2 0.2354 0.0000 0.2466 x4  1 Cr 2.43, 2 Ta 2.44, 2 Li 2.60


15.
A plane-wave DFT calculation with PBE was carried out for a relaxed structure of Li3TaCr2S6.

Results
DFT total energy ... -145.80 eV for the cell shown
Formation energy (no corrections) ... -0.941 eV per atom

Cell lengths 5.8376, 10.1833, 6.5201 Å; angles 90.00, 107.29, 90.00 degrees
Last column: nearest neighbours and their distance in Å.
Space group C2/m (No. 12)
Asymmetric unit:
Li1 0.0000 0.0000 0.0000 x2  6 S 2.47-2.66
Li2 0.0000 0.3287 0.0000 x4  6 S 2.52-2.62
Ta1 0.0000 0.5000 0.5000 x2  6 S 2.47-2.51
Cr1 0.0000 0.1412 0.5000 x4  6 S 2.30-2.53
S1 0.2413 0.0000 0.7465 x4  2 Cr 2.30, 3 Li 2.47-2.56, 1 Ta 2.51
S2 0.2458 0.3248 0.7223 x8  2 Cr 2.39-2.53, 1 Ta 2.47, 3 Li 2.52-2.66


16.
A plane-wave DFT calculation with PBE was carried out for a relaxed structure of Li3Tb3CrS8.

Results
DFT total energy ... -255.32 eV for the cell shown
Formation energy (no corrections) ... -1.522 eV per atom

Cell lengths 7.6798, 7.6798, 18.3811 Å; angles 90.00, 90.00, 120.00 degrees
Last column: nearest neighbours and their distance in Å.
Space group R-3m (No. 166, hexagonal axes)
Asymmetric unit:
Li1 0.0000 0.5000 0.0000 x9  6 S 2.67
Tb1 0.0000 0.5000 0.5000 x9  6 S 2.72-2.75
Cr1 0.0000 0.0000 0.5000 x3  6 S 2.45
S1 0.0000 0.0000 0.2522 x6  3 Li 2.67, 3 Tb 2.72
S2 0.0350 0.5175 0.2446 x18  1 Cr 2.45, 2 Li 2.67


17.
A plane-wave DFT calculation with PBE was carried out for a relaxed structure of Li2CrTeS.

Results
DFT total energy ... -19.19 eV for the cell shown
Formation energy (no corrections) ... 0.305 eV per atom

Cell lengths 4.8443, 4.8443, 5.8276 Å; angles 90.00, 90.00, 90.00 degrees
Last column: nearest neighbours and their distance in Å.
Space group P4/mmm (No. 123)
Asymmetric unit:
Li1 0.0000 0.5000 0.0000 x2  2 Te 2.42
Cr1 0.0000 0.0000 0.5000 x1  4 S 3.43, 8 Li 3.79
Te1 0.5000 0.5000 0.0000 x1  4 Li 2.42
S1 0.5000 0.5000 0.5000 x1  2 Te 2.91


18.
A plane-wave DFT calculation with PBE was carried out for a relaxed structure of LiTiCr2S.

Results
DFT total energy ... -31.62 eV for the cell shown
Formation energy (no corrections) ... 0.313 eV per atom

Cell lengths 4.1685, 4.1685, 4.5656 Å; angles 90.00, 90.00, 90.00 degrees
Last column: nearest neighbours and their distance in Å.
Space group P4/mmm (No. 123)
Asymmetric unit:
Li1 0.0000 0.0000 0.0000 x1  4 Ti 2.95, 8 Cr 3.09
Ti1 0.5000 0.5000 0.0000 x1  2 S 2.28
Cr1 0.0000 0.5000 0.5000 x2  2 S 2.08
S1 0.5000 0.5000 0.5000 x1  4 Cr 2.08, 2 Ti 2.28


19.
A plane-wave DFT calculation with PBE was carried out for a relaxed structure of Li4Ti3CrS8.

Results
DFT total energy ... -283.92 eV for the cell shown
Formation energy (no corrections) ... -1.291 eV per atom

Cell lengths 6.9445, 6.9445, 18.3641 Å; angles 90.00, 90.00, 120.00 degrees
Last column: nearest neighbours and their distance in Å.
Space group R-3m (No. 166, hexagonal axes)
Asymmetric unit:
Li1 0.0000 0.0000 0.0000 x3  6 S 2.62
Li2 0.0000 0.5000 0.0000 x9  6 S 2.57
Ti1 0.0000 0.5000 0.5000 x9  6 S 2.47-2.48
Cr1 0.0000 0.0000 0.5000 x3  6 S 2.43
S1 0.0000 0.0000 0.2455 x6  3 Ti 2.47, 3 Li 2.57
S2 0.0067 0.5033 0.2444 x18  1 Cr 2.43, 2 Ti 2.48, 3 Li 2.57-2.62


20.
A plane-wave DFT calculation with PBE was carried out for a relaxed structure of Li3Ti3CrS8.

Results
DFT total energy ... -274.04 eV for the cell shown
Formation energy (no corrections) ... -1.285 eV per atom

Cell lengths 6.8746, 6.8746, 18.5775 Å; angles 90.00, 90.00, 120.00 degrees
Last column: nearest neighbours and their distance in Å.
Space group R-3m (No. 166, hexagonal axes)
Asymmetric unit:
Li1 0.0000 0.5000 0.0000 x9  6 S 2.57-2.58
Ti1 0.0000 0.5000 0.5000 x9  6 S 2.45-2.46
Cr1 0.0000 0.0000 0.5000 x3  6 S 2.42
S1 0.0000 0.0000 0.2452 x6  3 Ti 2.46, 3 Li 2.57
S2 0.0052 0.5026 0.2433 x18  1 Cr 2.42, 2 Ti 2.45, 2 Li 2.58